Entry 1:
Here is NbSbAsBr2 after structural relaxation from Alexandria via LeMat-Bulk. Energies are from PBE.

## Properties
Formation energy from raw total energies   111.5 kJ/mol of formula units
Energy above the lowest structure with this stoichiometry   0.000 eV per atom
V   27.57 Å³/atom

```
NbSbAsBr2
1.0
5.085 0.000 0.000
0.000 5.085 0.000
0.000 0.000 5.331
Br Nb As Sb
2 1 1 1
direct
0.000 0.500 0.000
0.500 0.000 0.000
0.000 0.000 0.000
0.000 0.000 0.500
0.500 0.500 0.500
```


Entry 2:
Here is RuAuCl2 after structural relaxation from Alexandria via LeMat-Bulk. Energies are from PBE.

## Properties
Formation energy from raw total energies   127.5 kJ/mol of formula units
Energy above the lowest structure with this stoichiometry   0.285 eV per atom
V   20.74 Å³/atom

```
RuAuCl2
1.0
-2.800 1.440 0.029
-0.564 -1.037 -2.919
-3.524 -6.914 3.135
Au Cl Ru
1 2 1
direct
0.500 0.500 0.726
0.500 0.500 0.330
0.000 0.000 0.929
0.000 0.000 0.515
```


Entry 3:
Here is LiBePd3 after structural relaxation from Alexandria via LeMat-Bulk. Energies are from PBE.

## Properties
DFT formation energy   -216 kJ/mol of formula units
Energy above the lowest structure with this stoichiometry   0.000 eV per atom
V   12.97 Å³/atom

```
LiBePd3
1.0
-1.009 1.205 -3.714
-2.293 -4.611 -0.873
-2.677 5.917 4.836
Pd Li Be
6 2 2
direct
0.617 0.757 0.234
0.205 0.246 0.409
0.977 0.709 0.955
0.795 0.754 0.591
0.023 0.291 0.045
0.383 0.243 0.766
0.601 0.219 0.202
0.399 0.781 0.798
0.205 0.750 0.411
0.795 0.250 0.589
```


Entry 4:
Here is As2PtAu after structural relaxation from Alexandria via LeMat-Bulk. Energies are from PBE.

## Properties
DFT formation energy   43 kJ/mol of formula units
Energy above the lowest structure with this stoichiometry   0.179 eV per atom
V   17.68 Å³/atom

```
As2PtAu
1.0
-0.241 -3.752 -2.722
-3.853 -2.588 -0.049
-2.759 0.014 -3.733
Pt As Au
1 2 1
direct
0.000 0.000 0.000
0.250 0.250 0.250
0.750 0.750 0.750
0.500 0.500 0.500
```


Entry 5:
Here is SrBeFe2Ir after structural relaxation from Alexandria via LeMat-Bulk. Energies are from PBE.

## Properties
DFT formation energy   706 kJ/mol of formula units
V   22.84 Å³/atom

```
SrBeFe2Ir
1.0
4.511 0.000 0.000
0.000 4.511 0.000
0.000 0.000 5.613
Fe Be Sr Ir
2 1 1 1
direct
0.000 0.500 0.000
0.500 0.000 0.000
0.500 0.500 0.500
0.000 0.000 0.500
0.000 0.000 0.000
```


Entry 6:
Here is FeCoNi2Se6 after structural relaxation from Alexandria via LeMat-Bulk. Energies are from PBE.

## Properties
Formation energy from raw total energies   -224.5 kJ/mol of formula units
V   17.24 Å³/atom

```
FeCoNi2Se6
1.0
5.953 0.021 0.022
2.011 7.638 -0.300
2.011 -0.583 7.622
Se Fe Ni Co
12 2 4 2
direct
0.351 0.932 0.337
0.851 0.337 0.932
0.673 0.786 0.961
0.580 0.501 0.300
0.920 0.700 0.499
0.649 0.068 0.663
0.827 0.039 0.214
0.173 0.961 0.786
0.420 0.499 0.700
0.149 0.663 0.068
0.080 0.300 0.501
0.327 0.214 0.039
0.250 0.257 0.743
0.750 0.743 0.257
0.700 0.272 0.471
0.800 0.529 0.728
0.200 0.471 0.272
0.300 0.728 0.529
0.250 0.925 0.075
0.750 0.075 0.925
```


Entry 7:
Here is RbScSi after structural relaxation from Alexandria via LeMat-Bulk. Energies are from PBE.

## Properties
Formation energy from raw total energies   -9.5 kJ/mol of formula units
Energy above the lowest structure with this stoichiometry   0.220 eV per atom
V   28.21 Å³/atom

```
RbScSi
1.0
8.734 0.000 0.000
0.000 4.918 0.000
0.000 0.000 7.882
Sc Si Rb
4 4 4
direct
0.136 0.750 0.573
0.636 0.750 0.927
0.864 0.250 0.427
0.364 0.250 0.073
0.173 0.250 0.386
0.827 0.750 0.614
0.673 0.250 0.114
0.327 0.750 0.886
0.496 0.750 0.356
0.504 0.250 0.644
0.996 0.750 0.144
0.004 0.250 0.856
```


Entry 8:
Here is Hf2ThFe after structural relaxation from Alexandria via LeMat-Bulk. Energies are from PBE.

## Properties
DFT formation energy   140 kJ/mol of formula units
Energy above the lowest structure with this stoichiometry   0.408 eV per atom
V   20.70 Å³/atom

```
Hf2ThFe
1.0
4.889 0.000 0.000
2.445 4.234 0.000
2.445 1.411 4.000
Hf Fe Th
2 1 1
direct
0.250 0.250 0.249
0.750 0.750 0.751
0.000 0.000 0.000
0.500 0.500 0.500
```


Entry 9:
Here is CaPr5Tm2 after structural relaxation from Alexandria via LeMat-Bulk. Energies are from PBE.

## Properties
DFT formation energy   174 kJ/mol of formula units
V   36.32 Å³/atom

```
CaPr5Tm2
1.0
-9.067 -4.085 3.376
2.366 -6.202 -8.138
1.294 -5.472 2.291
Pr Ca Tm
10 2 4
direct
0.114 0.225 0.582
0.698 0.302 0.750
0.541 0.829 0.565
0.225 0.114 0.082
0.302 0.698 0.250
0.829 0.541 0.065
0.171 0.459 0.935
0.775 0.886 0.918
0.459 0.171 0.435
0.886 0.775 0.418
0.156 0.844 0.750
0.844 0.156 0.250
0.000 0.500 0.500
0.500 0.500 0.000
0.500 0.500 0.500
0.500 0.000 0.000
```


Entry 10:
Here is ReAsSBr2 after structural relaxation from Alexandria via LeMat-Bulk. Energies are from PBE.

## Properties
Formation energy from raw total energies   584.2 kJ/mol of formula units
Energy above the lowest structure with this stoichiometry   0.368 eV per atom
V   27.94 Å³/atom

```
ReAsSBr2
1.0
-2.307 3.384 -3.518
2.503 -1.998 -3.564
-3.984 -3.554 -0.806
S Br Re As
1 2 1 1
direct
0.000 0.500 0.000
0.000 0.000 0.500
0.500 0.000 0.000
0.500 0.500 0.500
0.000 0.000 0.000
```


Entry 11:
Here is CdGaB after structural relaxation from Alexandria via LeMat-Bulk. Energies are from PBE.

## Properties
DFT formation energy   91 kJ/mol of formula units
V   17.30 Å³/atom

```
CdGaB
1.0
6.366 0.065 -0.038
0.282 5.045 0.022
-1.070 1.369 3.247
Ga B Cd
2 2 2
direct
0.228 0.707 0.752
0.492 0.383 0.548
0.343 0.877 0.226
0.377 0.213 0.074
0.968 0.234 0.866
0.751 0.856 0.434
```


Entry 12:
Here is Ac3AgPtRh after structural relaxation from Alexandria via LeMat-Bulk. Energies are from PBE.

## Properties
DFT formation energy   -335 kJ/mol of formula units
V   31.78 Å³/atom

```
Ac3AgPtRh
1.0
4.325 0.000 0.000
0.000 8.173 -0.723
0.000 -3.849 11.129
Ac Ag Pt Rh
6 2 2 2
direct
0.750 0.463 0.132
0.250 0.038 0.868
0.250 0.537 0.868
0.750 0.962 0.132
0.250 0.766 0.483
0.750 0.234 0.517
0.250 0.298 0.291
0.750 0.702 0.709
0.750 0.842 0.338
0.250 0.158 0.662
0.750 0.266 0.844
0.250 0.734 0.156
```


Entry 13:
Here is LiScRu2 after structural relaxation from Alexandria via LeMat-Bulk. Energies are from PBE.

## Properties
DFT formation energy   -10 kJ/mol of formula units
V   14.94 Å³/atom

```
LiScRu2
1.0
5.064 -0.002 -0.002
2.055 4.628 0.002
-2.981 -3.202 2.549
Ru Li Sc
2 1 1
direct
0.002 0.002 0.000
0.498 0.498 0.000
0.250 0.750 0.500
0.750 0.250 0.500
```